CaPmCrN3 | PBE | optimized geometry

a = 6.738 Å, b = 6.738 Å, c = 6.952 Å
α = 105.03°, β = 105.03°, γ = 32.35°
Element x y z (fractional)
1 Ca 0.153 0.153 0.081
2 Ca 0.847 0.847 0.919
3 Pm 0.146 0.146 0.563
4 Pm 0.854 0.854 0.437
5 Cr 0.495 0.495 0.221
6 Cr 0.505 0.505 0.779
7 N 0.003 0.003 0.231
8 N 0.341 0.341 0.661
9 N 0.352 0.352 0.178
10 N 0.648 0.648 0.822
11 N 0.659 0.659 0.339
12 N 0.997 0.997 0.769

---

Ca2PrCrN4 | PBE | optimized geometry

a = 6.094 Å, b = 6.094 Å, c = 11.831 Å
α = 90.00°, β = 90.00°, γ = 147.63°
Element x y z (fractional)
1 Ca 0.128 0.872 0.540
2 Ca 0.128 0.872 0.960
3 Ca 0.872 0.128 0.040
4 Ca 0.872 0.128 0.460
5 Pr 0.418 0.582 0.750
6 Pr 0.582 0.418 0.250
7 Cr 0.318 0.682 0.250
8 Cr 0.682 0.318 0.750
9 N 0.097 0.903 0.750
10 N 0.228 0.772 0.137
11 N 0.228 0.772 0.363
12 N 0.500 0.500 0.000
13 N 0.500 0.500 0.500
14 N 0.772 0.228 0.637
15 N 0.772 0.228 0.863
16 N 0.903 0.097 0.250

---

Ca2CrPtN | PBE | optimized geometry

a = 4.989 Å, b = 4.989 Å, c = 3.757 Å
α = 90.00°, β = 90.00°, γ = 90.00°
Element x y z (fractional)
1 Ca 0.000 0.500 0.000
2 Ca 0.500 0.000 0.000
3 Cr 0.000 0.000 0.500
4 Pt 0.500 0.500 0.500
5 N 0.000 0.000 0.000

---

Ca2PuCr2N4 | PBE | optimized geometry

a = 6.488 Å, b = 6.488 Å, c = 6.062 Å
α = 107.52°, β = 107.52°, γ = 29.13°
Element x y z (fractional)
1 Ca 0.135 0.135 0.046
2 Ca 0.865 0.865 0.954
3 Pu 0.000 0.000 0.500
4 Cr 0.315 0.315 0.507
5 Cr 0.685 0.685 0.493
6 N 0.219 0.219 0.715
7 N 0.459 0.459 0.735
8 N 0.541 0.541 0.265
9 N 0.781 0.781 0.285

---

Raw formation energy for the records above, in order: -5.4; -7.0; -3.2; -6.4 eV/f.u.